First-principles (PBE) data for a relaxed structure of CdFeCu2, as listed in the Alexandria database.

Energy of formation from the pure elements: 0.278 eV/atom

abc: 3.9025 3.9025 7.4650
angles: 90.00 90.00 90.00
Closest atoms and distances in Å follow each position.
Space group I-4m2 (No. 119)
Symmetry-distinct sites (fractional):
Cd  0.0000  0.0000  0.0000 (multiplicity 2)  4 Fe 2.70, 8 Cu 2.70-2.76
Fe  0.0000  0.5000  0.2500 (multiplicity 2)  4 Cd 2.70, 8 Cu 2.70-2.76
Cu  0.0000  0.0000  0.5000 (multiplicity 2)  4 Fe 2.70, 4 Cu 2.70, 4 Cd 2.76
Cu  0.0000  0.5000  0.7500 (multiplicity 2)  4 Cu 2.70, 4 Cd 2.70, 4 Fe 2.76

First-principles (PBE) data for a relaxed structure of Ce3Pm2PuSe6, as listed in the Alexandria database.

Energy: -167.95 eV/cell

abc: 18.3020 4.1810 8.4190
angles: 90.00 103.65 90.00
Closest atoms and distances in Å follow each position.
Space group C2/m (No. 12)
Symmetry-distinct sites (fractional):
Ce  0.0000  0.0000  0.0000 (multiplicity 2)  6 Se 2.97-2.99
Ce  0.1676  0.5000  0.3340 (multiplicity 4)  6 Se 2.97-2.98
Pm  0.1666  0.5000  0.8332 (multiplicity 4)  6 Se 2.96-2.97
Pu  0.0000  0.0000  0.5000 (multiplicity 2)  6 Se 2.93-2.94
Se  0.0002  0.5000  0.2546 (multiplicity 4)  2 Pu 2.94, 1 Pm 2.97, 3 Ce 2.98-2.99
Se  0.1648  0.0000  0.5831 (multiplicity 4)  1 Pu 2.93, 2 Pm 2.96, 3 Ce 2.97-2.98
Se  0.1669  0.0000  0.0828 (multiplicity 4)  3 Pm 2.96, 3 Ce 2.97

First-principles (PBE) data for a relaxed structure of CoOsSe2, as listed in the Alexandria database.

Offset from the most stable computed form: 2.55 eV/f.u.

abc: 3.0265 4.3750 9.5961
angles: 90.00 90.00 90.00
Closest atoms and distances in Å follow each position.
Space group Imm2 (No. 44)
Symmetry-distinct sites (fractional):
Co  0.0000  0.0000  0.0000 (multiplicity 2)  6 Se 2.44-2.67
Os  0.0000  0.5000  0.8094 (multiplicity 2)  6 Se 2.51-2.66
Se  0.0000  0.0000  0.5181 (multiplicity 2)  2 Os 2.51, 4 Co 2.67
Se  0.0000  0.5000  0.3000 (multiplicity 2)  2 Co 2.44, 4 Os 2.66

First-principles (PBE) data for a relaxed structure of AcNdAl4, as listed in the Alexandria database.

Offset from the most stable computed form: 0.00 eV/f.u.
Energy of formation from the pure elements: -0.412 eV/atom

abc: 8.2084 8.2084 8.2084
angles: 90.00 90.00 90.00
Closest atoms and distances in Å follow each position.
Space group F-43m (No. 216)
Symmetry-distinct sites (fractional):
Ac  0.0000  0.0000  0.0000 (multiplicity 4)  12 Al 3.40, 4 Nd 3.55
Nd  0.2500  0.2500  0.7500 (multiplicity 4)  12 Al 3.40, 4 Ac 3.55
Al  0.1249  0.1249  0.3751 (multiplicity 16)  6 Al 2.90-2.91

First-principles (PBE) data for a relaxed structure of Mn2FeSi, as listed in the Alexandria database.

Energy: -66.19 eV/cell

abc: 3.6011 3.6011 6.9153
angles: 90.00 90.00 90.00
Closest atoms and distances in Å follow each position.
Space group I4/mmm (No. 139)
Symmetry-distinct sites (fractional):
Mn  0.0000  0.5000  0.2500 (multiplicity 4)  4 Fe 2.50, 4 Si 2.50, 4 Mn 2.55
Fe  0.0000  0.0000  0.0000 (multiplicity 2)  8 Mn 2.50, 4 Si 2.55
Si  0.0000  0.0000  0.5000 (multiplicity 2)  8 Mn 2.50, 4 Fe 2.55

First-principles (PBE) data for a relaxed structure of Zn2SbPb2, as listed in the Alexandria database.

Offset from the most stable computed form: 0.49 eV/f.u.

abc: 8.9124 8.9124 3.2947
angles: 90.00 90.00 90.00
Closest atoms and distances in Å follow each position.
Space group P4/mbm (No. 127)
Symmetry-distinct sites (fractional):
Zn  0.1031  0.3969  0.0000 (multiplicity 4)  1 Zn 2.60
Sb  0.0000  0.0000  0.5000 (multiplicity 2)  4 Pb 3.22, 2 Sb 3.29
Pb  0.1972  0.6972  0.5000 (multiplicity 4)  6 Zn 3.01-3.25, 2 Sb 3.22, 2 Pb 3.29

First-principles (PBE) data for a relaxed structure of Cr2Co17, as listed in the Alexandria database.

Energy of formation from the pure elements: 0.218 eV/atom

abc: 8.0542 8.0542 12.1332
angles: 90.00 90.00 120.00
Closest atoms and distances in Å follow each position.
Space group R-3m (No. 166, hexagonal axes)
Symmetry-distinct sites (fractional):
Cr  0.0000  0.0000  0.1580 (multiplicity 6)  19 Co 2.82-3.15
Co  0.0000  0.0000  0.4041 (multiplicity 6)  7 Co 2.33-2.57
Co  0.0000  0.3027  0.5000 (multiplicity 18)  8 Co 2.37-2.52
Co  0.0000  0.5000  0.0000 (multiplicity 9)  10 Co 2.34-2.48
Co  0.0038  0.5019  0.6524 (multiplicity 18)  9 Co 2.32-2.57

First-principles (PBE) data for a relaxed structure of Ta2Sb5S12, as listed in the Alexandria database.

Energy: -203.16 eV/cell

abc: 20.5356 7.0263 6.7111
angles: 90.00 100.12 90.00
Closest atoms and distances in Å follow each position.
Space group C2/m (No. 12)
Symmetry-distinct sites (fractional):
Ta  0.0000  0.2449  0.0000 (multiplicity 4)  6 S 2.42-2.54
Sb  0.0000  0.0000  0.5000 (multiplicity 2)  6 S 2.69
Sb  0.1638  0.5000  0.9869 (multiplicity 4)  3 S 2.53-2.67
Sb  0.2012  0.0000  0.5381 (multiplicity 4)  4 S 2.55-2.79
S  0.0695  0.0000  0.1964 (multiplicity 4)  2 Ta 2.46, 1 Sb 2.69
S  0.0700  0.2579  0.7453 (multiplicity 8)  1 Ta 2.42, 1 Sb 2.69
S  0.0724  0.5000  0.1948 (multiplicity 4)  1 Sb 2.53, 2 Ta 2.54
S  0.2306  0.2487  0.2426 (multiplicity 8)  3 Sb 2.55-2.79

First-principles (PBE) data for a relaxed structure of Mg3Bi2Pb, as listed in the Alexandria database.

Energy of formation from the pure elements: -0.068 eV/atom

abc: 8.5527 12.7419 6.8522
angles: 90.00 90.00 90.00
Closest atoms and distances in Å follow each position.
Space group Ibam (No. 72)
Symmetry-distinct sites (fractional):
Mg  0.0000  0.0000  0.2500 (multiplicity 4)  4 Bi 3.00
Mg  0.0000  0.2887  0.2500 (multiplicity 8)  4 Bi 2.97-3.28, 2 Pb 3.19
Bi  0.1880  0.1467  0.0000 (multiplicity 8)  6 Mg 2.97-3.28, 1 Pb 3.26
Pb  0.0000  0.5000  0.0000 (multiplicity 4)  4 Mg 3.19, 2 Bi 3.26, 2 Pb 3.43

First-principles (PBE) data for a relaxed structure of FeCo3Au, as listed in the Alexandria database.

Offset from the most stable computed form: 0.00 eV/f.u.
Energy of formation from the pure elements: 1.061 eV/atom

abc: 4.2814 4.2814 4.2814
angles: 90.00 90.00 90.00
Closest atoms and distances in Å follow each position.
Space group Pm-3m (No. 221)
Symmetry-distinct sites (fractional):
Fe  0.0000  0.0000  0.0000 (multiplicity 1)  6 Co 2.14
Co  0.0000  0.0000  0.5000 (multiplicity 3)  2 Fe 2.14
Au  0.5000  0.5000  0.5000 (multiplicity 1)  12 Co 3.03

First-principles (PBE) data for a relaxed structure of CaZrPd2Cl, as listed in the Alexandria database.

Energy: -18.18 eV/cell

abc: 4.8385 4.8385 6.1624
angles: 90.00 90.00 90.00
Closest atoms and distances in Å follow each position.
Space group P4/mmm (No. 123)
Symmetry-distinct sites (fractional):
Ca  0.0000  0.0000  0.0000 (multiplicity 1)  4 Pd 2.42
Zr  0.0000  0.0000  0.5000 (multiplicity 1)  2 Ca 3.08, 4 Cl 3.42
Pd  0.0000  0.5000  0.0000 (multiplicity 2)  2 Ca 2.42
Cl  0.5000  0.5000  0.5000 (multiplicity 1)  4 Zr 3.42

First-principles (PBE) data for a relaxed structure of Ca2TlAs, as listed in the Alexandria database.

Offset from the most stable computed form: 0.52 eV/f.u.
Energy of formation from the pure elements: -0.586 eV/atom

abc: 7.5502 7.5502 7.5502
angles: 90.00 90.00 90.00
Closest atoms and distances in Å follow each position.
Space group Fm-3m (No. 225)
Symmetry-distinct sites (fractional):
Ca  0.2500  0.2500  0.2500 (multiplicity 8)  4 As 3.27, 4 Tl 3.27
Tl  0.0000  0.0000  0.0000 (multiplicity 4)  8 Ca 3.27
As  0.0000  0.0000  0.5000 (multiplicity 4)  8 Ca 3.27